Zn2SiO4 | GGA-PBE | optimized geometry

Cell lengths 10.2456, 6.0103, 4.7921 Å; angles 90.00, 90.00, 90.00 degrees
Space group Pnma (No. 62)
One atom of each set of equivalent atoms:
Zn 0.0000 0.0000 0.0000 (multiplicity 4)
Zn 0.2207 0.2500 0.4849 (multiplicity 4)
Si 0.0964 0.7500 0.4266 (multiplicity 4)
O 0.0527 0.2500 0.7162 (multiplicity 4)
O 0.0938 0.7500 0.7663 (multiplicity 4)
O 0.1656 0.5319 0.2786 (multiplicity 8)

Properties
Electronic total energy, eV/f.u.: -41.46


Zn2SiO4 | GGA-PBE | optimized geometry

Cell lengths 5.3784, 7.8414, 8.8569 Å; angles 90.00, 120.43, 90.00 degrees
Space group P2_1/c (No. 14)
One atom of each set of equivalent atoms:
Zn 0.1201 0.0031 0.1915 (multiplicity 4)
Zn 0.2398 0.1211 0.5949 (multiplicity 4)
Si 0.3746 0.7430 0.0457 (multiplicity 4)
O 0.1672 0.6287 0.0941 (multiplicity 4)
O 0.2503 0.5614 0.5119 (multiplicity 4)
O 0.2878 0.2368 0.2913 (multiplicity 4)
O 0.3773 0.6493 0.8803 (multiplicity 4)

Properties
Electronic total energy, eV/f.u.: -41.22


Zn2SiO4 | GGA-PBE | optimized geometry

Cell lengths 13.9594, 13.9594, 9.3236 Å; angles 90.00, 90.00, 120.00 degrees
Space group R-3 (No. 148, hexagonal axes)
One atom of each set of equivalent atoms:
Zn 0.0201 0.8097 0.0847 (multiplicity 18)
Zn 0.0246 0.8082 0.4194 (multiplicity 18)
Si 0.0178 0.8055 0.7503 (multiplicity 18)
O 0.0048 0.6821 0.7501 (multiplicity 18)
O 0.0783 0.8733 0.8967 (multiplicity 18)
O 0.0852 0.8753 0.6069 (multiplicity 18)
O 0.1061 0.8911 0.2514 (multiplicity 18)

Properties
Electronic total energy, eV/f.u.: -42.06


Zn2SiO4 | GGA-PBE | optimized geometry

Cell lengths 10.2547, 6.6655, 5.0647 Å; angles 90.00, 90.00, 90.00 degrees
Space group Pnma (No. 62)
One atom of each set of equivalent atoms:
Zn 0.1559 0.0003 0.1682 (multiplicity 8)
Si 0.0902 0.2500 0.6692 (multiplicity 4)
O 0.0626 0.7500 0.2388 (multiplicity 4)
O 0.1076 0.2500 0.3471 (multiplicity 4)
O 0.1608 0.0466 0.7846 (multiplicity 8)

Properties
Electronic total energy, eV/f.u.: -41.98


Zn2Si7O16 | GGA-PBE | optimized geometry

Cell lengths 10.6311, 10.6311, 4.3742 Å; angles 90.00, 90.00, 90.00 degrees
Space group P-4b2 (No. 117)
One atom of each set of equivalent atoms:
Zn 0.1605 0.3395 0.0000 (multiplicity 4)
Si 0.0000 0.5000 0.5000 (multiplicity 2)
Si 0.0744 0.8195 0.5087 (multiplicity 8)
Si 0.1388 0.6388 0.0000 (multiplicity 4)
O 0.0005 0.3826 0.7518 (multiplicity 8)
O 0.0385 0.7227 0.2319 (multiplicity 8)
O 0.0587 0.1372 0.6636 (multiplicity 8)
O 0.1773 0.7745 0.7728 (multiplicity 8)

Properties
Electronic total energy, eV/f.u.: -180.46


Zn2SiO4 | GGA-PBE | optimized geometry

Cell lengths 4.9238, 5.0326, 10.3203 Å; angles 90.00, 90.00, 90.00 degrees
Space group Pbca (No. 61)
One atom of each set of equivalent atoms:
Zn 0.0044 0.0556 0.1638 (multiplicity 8)
Si 0.0000 0.0000 0.5000 (multiplicity 4)
O 0.1145 0.5444 0.8408 (multiplicity 8)
O 0.2011 0.7114 0.5488 (multiplicity 8)

Properties
Electronic total energy, eV/f.u.: -40.57


Zn2SiO4 | GGA-PBE | optimized geometry

Cell lengths 3.4758, 3.4758, 10.6910 Å; angles 90.00, 90.00, 90.00 degrees
Space group I4/mmm (No. 139)
One atom of each set of equivalent atoms:
Zn 0.0000 0.0000 0.1528 (multiplicity 4)
Si 0.0000 0.0000 0.5000 (multiplicity 2)
O 0.0000 0.0000 0.3326 (multiplicity 4)
O 0.0000 0.5000 0.0000 (multiplicity 4)

Properties
Electronic total energy, eV/f.u.: -38.68


Zn2SiO4 | GGA-PBE | optimized geometry

Cell lengths 5.7718, 11.5529, 8.4338 Å; angles 90.00, 90.00, 90.00 degrees
Space group Imma (No. 74)
One atom of each set of equivalent atoms:
Zn 0.0000 0.0000 0.0000 (multiplicity 4)
Zn 0.0000 0.2500 0.0318 (multiplicity 4)
Zn 0.2500 0.1256 0.7500 (multiplicity 8)
Si 0.0000 0.1207 0.3829 (multiplicity 8)
O 0.0000 0.0123 0.2565 (multiplicity 8)
O 0.0000 0.2500 0.2847 (multiplicity 4)
O 0.0000 0.2500 0.7863 (multiplicity 4)
O 0.2363 0.1231 0.4920 (multiplicity 16)

Properties
Electronic total energy, eV/f.u.: -41.23